No. 1
Ce2SmCl8: optimized geometry, GGA-PBE.

Results
Its calculated total energy is -4.9704 eV/atom. The calculation puts the density of states at the Fermi level at 19.35 states/eV per cell. Its energy relative to the elements, uncorrected is -2249 kJ/mol of formula units.

Unit cell a=4.902 b=8.228 c=8.642 alpha=99.62 beta=90.00 gamma=107.33
Element x y z (fractional)
Cl 0.560 0.120 0.722
Cl 0.927 0.854 0.849
Cl 0.440 0.880 0.278
Cl 0.073 0.146 0.151
Ce 0.739 0.478 0.735
Cl 0.185 0.371 0.552
Cl 0.815 0.629 0.448
Ce 0.261 0.522 0.265
Cl 0.698 0.395 0.077
Cl 0.302 0.605 0.923
Sm 0.500 0.000 0.000

---

No. 2
KTlBi2Pd2: optimized geometry, GGA-PBE.

Results
Its calculated total energy is -3.7429 eV/atom. The calculation puts the density of states at the Fermi level at 2.50 states/eV per cell.

Unit cell a=5.177 b=5.177 c=6.837 alpha=90.00 beta=90.00 gamma=90.00
Element x y z (fractional)
Bi 0.500 0.500 0.232
Pd 0.500 0.000 0.000
Bi 0.500 0.500 0.768
Pd 0.000 0.500 0.000
K 0.000 0.000 0.500
Tl 0.000 0.000 0.000